## TlV2CuO (PBE with a Hubbard U)

Data for a relaxed TlV2CuO crystal.

Cell: 5.4804 5.4804 4.2542 Å, 90.00 90.00 90.00°
With the nearest neighbours (Å) after each atom.
Fractional positions:
1 Tl 0.0000 0.0000 0.0000  2 O 2.13
2 V 0.0000 0.5000 0.0000  2 Tl 2.74
3 V 0.5000 0.0000 0.0000  2 Tl 2.74
4 Cu 0.5000 0.5000 0.5000  8 V 3.47, 4 O 3.88
5 O 0.0000 0.0000 0.5000  2 Tl 2.13

Size of the total moment: 7.63 μB per formula unit
Total DFT energy (no corrections): -3.693 eV per atom